Entry 1:
Entry from Alexandria via LeMat-Bulk: an optimized crystal structure of SrSnGePt3 (PBE).

It has space group Cmcm (No. 63), with a = 6.5152 Å, b = 15.6136 Å, c = 5.7878 Å, α = 90.00°, β = 90.00° and γ = 90.00°. Symmetry generates all atoms from Sr at (0.0000, 0.2178, 0.2500), Sn at (0.0000, 0.0858, 0.7500), Ge at (0.0000, 0.4070, 0.7500), Pt at (0.0000, 0.2539, 0.7500) and Pt at (0.2225, 0.5000, 0.0000).

The formation energy comes out at -0.60 eV per atom. As for the density of states at the Fermi level: 0.334 states/eV/atom.

Entry 2:
Entry from Alexandria via LeMat-Bulk: an optimized crystal structure of Sr2Sn4GePt3 (PBE).

It has space group P-4m2 (No. 115), with a = 4.7324 Å, b = 4.7324 Å, c = 10.8621 Å, α = 90.00°, β = 90.00° and γ = 90.00°. Symmetry generates all atoms from Sr at (0.0000, 0.5000, 0.2445), Sn at (0.0000, 0.0000, 0.5000), Sn at (0.0000, 0.5000, 0.8676), Sn at (0.5000, 0.5000, 0.5000), Ge at (0.5000, 0.5000, 0.0000), Pt at (0.0000, 0.0000, 0.0000) and Pt at (0.0000, 0.5000, 0.6239).

The formation energy comes out at -0.68 eV per atom. As for the density of states at the Fermi level: 0.570 states/eV/atom.